A plane-wave DFT calculation with PBE was carried out for a relaxed La4Tb3Y2 crystal.

Output
Theoretical density in g/cm3: 6.52
N(E_F) in states/eV/atom: 1.593
E_tot in hartree per atom: -0.1890
Space group: P-1
Formation enthalpy at 0 K in meV per atom: 26

Unit cell a=6.3106 b=6.3022 c=13.0798 alpha=118.48 beta=103.66 gamma=120.16
Closest atoms and distances in Å follow each position.
Positions (direct):
La1 0.6661 0.3372 0.0002  5 La 3.60-3.68, 5 Tb 3.61-3.68, 2 Y 3.64-3.70
La2 0.3339 0.6628 0.9998  5 La 3.60-3.68, 5 Tb 3.61-3.68, 2 Y 3.64-3.70
La3 0.8828 0.7718 0.6647  5 Tb 3.61-3.66, 3 La 3.62-3.68, 4 Y 3.62-3.66
La4 0.1172 0.2282 0.3353  5 Tb 3.61-3.66, 3 La 3.62-3.68, 4 Y 3.62-3.66
Tb1 0.5545 0.1109 0.6653  2 Tb 3.60-3.66, 6 La 3.61-3.68, 4 Y 3.63-3.66
Tb2 0.0000 0.0000 0.0000  8 La 3.61-3.67, 2 Tb 3.66, 2 Y 3.67
Tb3 0.4455 0.8891 0.3347  2 Tb 3.60-3.66, 6 La 3.61-3.68, 4 Y 3.63-3.66
Y1 0.7807 0.5606 0.3347  1 Y 3.62, 6 La 3.62-3.70, 5 Tb 3.63-3.67
Y2 0.2193 0.4394 0.6653  1 Y 3.62, 6 La 3.62-3.70, 5 Tb 3.63-3.67

***

A plane-wave DFT calculation with PBE was carried out for a relaxed La8Tb5Y crystal.

Output
Theoretical density in g/cm3: 6.58
N(E_F) in states/eV/atom: 1.600
E_tot in hartree per atom: -0.1723
Space group: I-4
Formation enthalpy at 0 K in meV per atom: 242

Unit cell a=8.6854 b=8.6854 c=8.6854 alpha=111.01 beta=106.43 gamma=111.01
Closest atoms and distances in Å follow each position.
Positions (direct):
La1 0.1666 0.7309 0.0721  4 Tb 3.24-3.58, 1 Y 3.25
La2 0.9279 0.0946 0.6588  4 Tb 3.24-3.58, 1 Y 3.25
La3 0.7367 0.2615 0.3384  5 Tb 3.45-3.72, 4 La 3.61-3.82
La4 0.6616 0.3983 0.9231  5 Tb 3.45-3.72, 4 La 3.61-3.82
La5 0.5248 0.6017 0.2633  5 Tb 3.45-3.72, 4 La 3.61-3.82
La6 0.5643 0.9054 0.8334  4 Tb 3.24-3.58, 1 Y 3.25
La7 0.3412 0.2691 0.4357  4 Tb 3.24-3.58, 1 Y 3.25
La8 0.0769 0.7385 0.4752  5 Tb 3.45-3.72, 4 La 3.61-3.82
Tb1 0.0331 0.3080 0.1301  8 La 3.40-3.72, 2 Tb 3.52
Tb2 0.8699 0.9030 0.1779  8 La 3.40-3.72, 2 Tb 3.52
Tb3 0.8221 0.6920 0.7251  8 La 3.40-3.72, 2 Tb 3.52
Tb4 0.5000 0.0000 0.5000  8 La 3.24-3.45
Tb5 0.2749 0.0970 0.9669  8 La 3.40-3.72, 2 Tb 3.52
Y1 0.2500 0.5000 0.7500  4 La 3.25

***

A plane-wave DFT calculation with PBE was carried out for a relaxed La7Tb12Y crystal.

Output
Theoretical density in g/cm3: 7.09
N(E_F) in states/eV/atom: 1.886
E_tot in hartree per atom: -0.1693
Energy relative to the lowest polymorph listed for this composition in meV per atom: 0
Space group: R-3
Formation enthalpy at 0 K in meV per atom: 219

Unit cell a=8.8761 b=8.8761 c=8.8761 alpha=86.29 beta=86.29 gamma=86.29
Closest atoms and distances in Å follow each position.
Positions (direct):
La1 0.8383 0.6043 0.9152  3 La 3.40-3.67, 5 Tb 3.49-3.74
La2 0.3957 0.0848 0.1617  3 La 3.40-3.67, 5 Tb 3.49-3.74
La3 0.0848 0.1617 0.3957  3 La 3.40-3.67, 5 Tb 3.49-3.74
La4 0.5000 0.5000 0.5000  6 Tb 3.34
La5 0.9152 0.8383 0.6043  3 La 3.40-3.67, 5 Tb 3.49-3.74
La6 0.6043 0.9152 0.8383  3 La 3.40-3.67, 5 Tb 3.49-3.74
La7 0.1617 0.3957 0.0848  3 La 3.40-3.67, 5 Tb 3.49-3.74
Tb1 0.8561 0.2512 0.7262  4 Tb 3.28-3.66, 1 Y 3.44, 2 La 3.56-3.64
Tb2 0.7488 0.2738 0.1439  4 Tb 3.28-3.66, 1 Y 3.44, 2 La 3.56-3.64
Tb3 0.6177 0.1347 0.4971  5 Tb 3.27-3.66, 2 La 3.34-3.49
Tb4 0.8653 0.5029 0.3823  5 Tb 3.27-3.66, 2 La 3.34-3.49
Tb5 0.2738 0.1439 0.7488  4 Tb 3.28-3.66, 1 Y 3.44, 2 La 3.56-3.64
Tb6 0.5029 0.3823 0.8653  5 Tb 3.27-3.66, 2 La 3.34-3.49
Tb7 0.4971 0.6177 0.1347  5 Tb 3.27-3.66, 2 La 3.34-3.49
Tb8 0.7262 0.8561 0.2512  4 Tb 3.28-3.66, 1 Y 3.44, 2 La 3.56-3.64
Tb9 0.1347 0.4971 0.6177  5 Tb 3.27-3.66, 2 La 3.34-3.49
Tb10 0.3823 0.8653 0.5029  5 Tb 3.27-3.66, 2 La 3.34-3.49
Tb11 0.2512 0.7262 0.8561  4 Tb 3.28-3.66, 1 Y 3.44, 2 La 3.56-3.64
Tb12 0.1439 0.7488 0.2738  4 Tb 3.28-3.66, 1 Y 3.44, 2 La 3.56-3.64
Y1 0.0000 0.0000 0.0000  6 Tb 3.44

***

A plane-wave DFT calculation with PBE was carried out for a relaxed La3Tb4Y3 crystal.

Output
Theoretical density in g/cm3: 6.35
N(E_F) in states/eV/atom: 1.317
E_tot in hartree per atom: -0.1906
Space group: Amm2
Formation enthalpy at 0 K in meV per atom: 83

Unit cell a=3.7691 b=9.5702 c=9.5702 alpha=89.82 beta=90.00 gamma=90.00
Closest atoms and distances in Å follow each position.
Positions (direct):
La1 0.0000 0.5062 0.0033  4 Tb 3.69-3.87, 4 La 3.77-4.07, 6 Y 3.95-4.02
La2 0.0000 0.9967 0.4938  4 Tb 3.69-3.87, 4 La 3.77-4.07, 6 Y 3.95-4.02
La3 0.5000 0.1730 0.8270  6 Tb 3.35-3.48
Tb1 0.0000 0.6247 0.3753  6 Y 3.32-3.43, 1 Tb 3.33
Tb2 0.0000 0.3783 0.6217  1 Tb 3.33, 2 La 3.35, 4 Y 3.42
Tb3 0.0000 0.8714 0.8784  4 Y 3.34-3.42, 1 Tb 3.39, 3 La 3.48-3.69
Tb4 0.0000 0.1216 0.1286  4 Y 3.34-3.42, 1 Tb 3.39, 3 La 3.48-3.69
Y1 0.5000 0.8269 0.1731  6 Tb 3.32-3.42
Y2 0.5000 0.3291 0.3278  6 Tb 3.34-3.43
Y3 0.5000 0.6722 0.6709  6 Tb 3.34-3.43